Record 1
This record from the Alexandria database describes a geometry-optimized ScTlCdBr6 structure. The functional is PBE.

abc: 7.1376 7.1376 14.5059
angles: 90.00 90.00 120.00
Closest atoms and distances in Å follow each position.
Atoms (fractional coordinates):
Br 0.3796 0.0145 0.1419  1 Sc 2.68, 1 Cd 2.81
Br 0.0145 0.6349 0.8581  1 Sc 2.68, 1 Cd 2.81
Br 0.3651 0.9855 0.6419  1 Sc 2.68, 1 Cd 2.81
Br 0.6349 0.0145 0.3581  1 Sc 2.68, 1 Cd 2.81
Br 0.6204 0.9855 0.8581  1 Sc 2.68, 1 Cd 2.81
Br 0.9855 0.6204 0.3581  1 Sc 2.68, 1 Cd 2.81
Br 0.6204 0.6349 0.6419  1 Sc 2.68, 1 Cd 2.81
Br 0.0145 0.3796 0.6419  1 Sc 2.68, 1 Cd 2.81
Br 0.9855 0.3651 0.1419  1 Sc 2.68, 1 Cd 2.81
Br 0.3651 0.3796 0.8581  1 Sc 2.68, 1 Cd 2.81
Br 0.3796 0.3651 0.3581  1 Sc 2.68, 1 Cd 2.81
Br 0.6349 0.6204 0.1419  1 Sc 2.68, 1 Cd 2.81
Cd 0.6667 0.3333 0.7500  6 Br 2.81
Cd 0.3333 0.6667 0.2500  6 Br 2.81
Tl 0.0000 0.0000 0.5000  6 Br 3.36
Tl 0.0000 0.0000 0.0000  6 Br 3.36
Sc 0.3333 0.6667 0.7500  6 Br 2.68
Sc 0.6667 0.3333 0.2500  6 Br 2.68

Total magnetization: 0.00 μB/cell
Symmetry: No. 163
Total energy: -3.419 eV/atom

=====

Record 2
This record from the Alexandria database describes a geometry-optimized Zr2ScCdBr structure. The functional is PBE.

abc: 5.3682 5.4041 5.3682
angles: 90.00 90.00 90.00
Closest atoms and distances in Å follow each position.
Atoms (fractional coordinates):
Sc 0.5000 0.5000 0.5000  4 Br 3.80, 8 Zr 3.81
Br 0.0000 0.5000 0.0000  2 Cd 2.70
Zr 0.0000 0.0000 0.5000  2 Cd 2.68
Zr 0.5000 0.0000 0.0000  2 Cd 2.68
Cd 0.0000 0.0000 0.0000  4 Zr 2.68, 2 Br 2.70

Total magnetization: 2.01 μB/cell
Symmetry: No. 123
Total energy: -4.085 eV/atom

=====

Record 3
This record from the Alexandria database describes a geometry-optimized Cd2SeBr structure. The functional is PBE.

abc: 7.6238 7.6238 7.6238
angles: 149.55 149.55 43.60
Closest atoms and distances in Å follow each position.
Atoms (fractional coordinates):
Cd 0.2500 0.7500 0.5000  4 Br 2.83
Cd 0.0000 0.0000 0.0000  4 Se 2.83
Se 0.5000 0.5000 0.0000  4 Cd 2.83
Br 0.7500 0.2500 0.5000  4 Cd 2.83

Total magnetization: 0.00 μB/cell
Energy relative to the lowest polymorph listed for this composition: 194 meV/atom
Symmetry: No. 119
Total energy: -1.993 eV/atom

=====

Record 4
This record from the Alexandria database describes a geometry-optimized Cd2SeBr structure. The functional is PBE.

abc: 5.1245 5.1245 5.1245
angles: 60.00 60.00 60.00
Closest atoms and distances in Å follow each position.
Atoms (fractional coordinates):
Br 0.5000 0.5000 0.5000  8 Cd 3.14
Se 0.0000 0.0000 0.0000  8 Cd 3.14
Cd 0.2500 0.2500 0.2500  4 Se 3.14, 4 Br 3.14
Cd 0.7500 0.7500 0.7500  4 Se 3.14, 4 Br 3.14

Total magnetization: 0.00 μB/cell
Energy relative to the lowest polymorph listed for this composition: 266 meV/atom
Symmetry: No. 225
Total energy: -1.921 eV/atom

=====

Formation energy from raw total energies
In order: -1236; 1118; -246; -174
Unit: meV per atom